A geometry-optimized Ho5CoBi2 structure. Source: the Alexandria database, functional PBE.

Cell: 12.385 8.826 7.989 Å, 90.00 90.00 90.00°
Sites, in units of the cell vectors:
Ho  0.002  0.250  0.053
Ho  0.063  0.539  0.325
Ho  0.063  0.961  0.325
Ho  0.188  0.250  0.614
Ho  0.199  0.750  0.653
Ho  0.301  0.250  0.153
Ho  0.312  0.750  0.114
Ho  0.437  0.039  0.825
Ho  0.437  0.461  0.825
Ho  0.498  0.750  0.553
Ho  0.502  0.250  0.447
Ho  0.563  0.539  0.175
Ho  0.563  0.961  0.175
Ho  0.688  0.250  0.886
Ho  0.699  0.750  0.847
Ho  0.801  0.250  0.347
Ho  0.812  0.750  0.386
Ho  0.937  0.039  0.675
Ho  0.937  0.461  0.675
Ho  0.998  0.750  0.947
Co  0.009  0.250  0.431
Co  0.491  0.750  0.931
Co  0.509  0.250  0.069
Co  0.991  0.750  0.569
Bi  0.174  0.010  0.929
Bi  0.174  0.490  0.929
Bi  0.326  0.510  0.429
Bi  0.326  0.990  0.429
Bi  0.674  0.010  0.571
Bi  0.674  0.490  0.571
Bi  0.826  0.510  0.071
Bi  0.826  0.990  0.071

## Properties
E_form = -551 meV/atom
V = 27.29 Å³ per atom
Relative energy among the computed polymorphs = 0.0 meV per atom
Raw total energy = -5.271 eV per atom
Spin magnetization = 0.00 μB/cell

***

A geometry-optimized Ho8CoBi2 structure. Source: the Alexandria database, functional PBE.

Cell: 9.826 9.826 7.337 Å, 96.37 96.37 26.69°
Sites, in units of the cell vectors:
Ho  0.001  0.001  0.220
Ho  0.213  0.213  0.347
Ho  0.369  0.369  0.956
Ho  0.407  0.407  0.483
Ho  0.593  0.593  0.517
Ho  0.631  0.631  0.044
Ho  0.787  0.787  0.653
Ho  0.999  0.999  0.780
Co  0.500  0.500  0.000
Bi  0.183  0.183  0.783
Bi  0.817  0.817  0.217

## Properties
E_form = -305 meV/atom
V = 28.74 Å³ per atom
Raw total energy = -4.986 eV per atom
Spin magnetization = 0.00 μB/cell

***

A geometry-optimized HoCoBi structure. Source: the Alexandria database, functional PBE.

Cell: 3.863 5.712 6.952 Å, 86.08 89.83 70.28°
Sites, in units of the cell vectors:
Ho  0.140  0.219  0.145
Ho  0.860  0.781  0.855
Co  0.436  0.627  0.120
Co  0.564  0.373  0.880
Bi  0.134  0.235  0.641
Bi  0.866  0.765  0.359

## Properties
E_form = -238 meV/atom
V = 24.00 Å³ per atom
Raw total energy = -5.426 eV per atom
Spin magnetization = 0.84 μB/cell

***

A geometry-optimized Ho5CoBi structure. Source: the Alexandria database, functional PBE.

Cell: 7.291 7.291 9.405 Å, 104.72 104.72 71.55°
Sites, in units of the cell vectors:
Ho  0.094  0.906  0.750
Ho  0.104  0.328  0.644
Ho  0.179  0.635  0.027
Ho  0.328  0.104  0.144
Ho  0.365  0.821  0.473
Ho  0.635  0.179  0.527
Ho  0.672  0.896  0.856
Ho  0.821  0.365  0.973
Ho  0.896  0.672  0.356
Ho  0.906  0.094  0.250
Co  0.000  0.000  0.000
Co  0.000  0.000  0.500
Bi  0.453  0.547  0.750
Bi  0.547  0.453  0.250

## Properties
E_form = -92 meV/atom
V = 32.18 Å³ per atom
Raw total energy = -4.931 eV per atom
Spin magnetization = 0.00 μB/cell

***

A geometry-optimized Ho12CoBi6 structure. Source: the Alexandria database, functional PBE.

Cell: 8.598 8.598 8.598 Å, 99.75 99.75 99.75°
Sites, in units of the cell vectors:
Ho  0.001  0.697  0.944
Ho  0.056  0.999  0.303
Ho  0.203  0.411  0.539
Ho  0.303  0.056  0.999
Ho  0.411  0.539  0.203
Ho  0.461  0.797  0.589
Ho  0.539  0.203  0.411
Ho  0.589  0.461  0.797
Ho  0.697  0.944  0.001
Ho  0.797  0.589  0.461
Ho  0.944  0.001  0.697
Ho  0.999  0.303  0.056
Co  0.000  0.000  0.000
Bi  0.115  0.651  0.319
Bi  0.319  0.115  0.651
Bi  0.349  0.681  0.885
Bi  0.651  0.319  0.115
Bi  0.681  0.885  0.349
Bi  0.885  0.349  0.681

## Properties
E_form = -440 meV/atom
V = 31.81 Å³ per atom
Raw total energy = -4.931 eV per atom
Spin magnetization = 0.00 μB/cell

***

A geometry-optimized Ho5CoBi4 structure. Source: the Alexandria database, functional PBE.

Cell: 7.533 7.533 7.533 Å, 99.96 99.96 130.85°
Sites, in units of the cell vectors:
Ho  0.000  0.000  0.000
Ho  0.085  0.266  0.630
Ho  0.266  0.636  0.182
Ho  0.454  0.085  0.818
Ho  0.636  0.454  0.370
Co  0.423  0.423  0.000
Bi  0.155  0.946  0.386
Bi  0.560  0.769  0.614
Bi  0.769  0.155  0.209
Bi  0.946  0.560  0.791

## Properties
E_form = -545 meV/atom
V = 29.40 Å³ per atom
Raw total energy = -5.097 eV per atom
Spin magnetization = 0.00 μB/cell

***

- V of number 6 (Ho5CoBi4)?
  29.40 Å³ per atom